(1)
This record from the Alexandria database describes crystalline ZrTe2Ru at its relaxed geometry. The functional is PBE.

Unit cell a=3.5146 b=3.5755 c=7.2547 alpha=69.16 beta=90.00 gamma=90.00
Element x y z (fractional)
Te 0.0000 0.5925 0.5012
Ru 0.5000 0.7500 0.7500
Te 0.0000 0.9075 0.9988
Zr 0.5000 0.2500 0.2500

## Properties
* excess energy over the best structure of this formula in the dataset: 353 meV/atom
* theoretical density: 8.72 g cm⁻³
* density of states at the Fermi level: 0.764 states/eV/atom
* size of the total moment: 0.0 Bohr magnetons per cell
* uncorrected formation energy: -0.115 eV per atom

(2)
This record from the Alexandria database describes crystalline SrTl2Sb2 at its relaxed geometry. The functional is PBE.

Unit cell a=4.6791 b=4.6791 c=8.4960 alpha=74.02 beta=74.02 gamma=90.00
Element x y z (fractional)
Tl 0.2500 0.7500 0.5000
Sb 0.4072 0.4072 0.1856
Sb 0.5928 0.5928 0.8144
Tl 0.7500 0.2500 0.5000
Sr 0.0000 0.0000 0.0000

## Properties
* theoretical density: 7.17 g cm⁻³
* density of states at the Fermi level: 0.359 states/eV/atom
* size of the total moment: 0.0 Bohr magnetons per cell
* uncorrected formation energy: -0.345 eV per atom

(3)
This record from the Alexandria database describes crystalline Tb6YEr12 at its relaxed geometry. The functional is PBE.

Unit cell a=8.4753 b=8.4753 c=8.4753 alpha=88.33 beta=88.33 gamma=88.33
Element x y z (fractional)
Er 0.7880 0.6459 0.9907
Er 0.4370 0.7724 0.5444
Er 0.0093 0.2120 0.3541
Er 0.4556 0.5630 0.2276
Er 0.3541 0.0093 0.2120
Er 0.5444 0.4370 0.7724
Tb 0.3136 0.7443 0.9100
Tb 0.0900 0.6864 0.2557
Er 0.7724 0.5444 0.4370
Er 0.2276 0.4556 0.5630
Er 0.2120 0.3541 0.0093
Er 0.6459 0.9907 0.7880
Tb 0.6864 0.2557 0.0900
Tb 0.7443 0.9100 0.3136
Tb 0.9100 0.3136 0.7443
Y 0.0000 0.0000 0.0000
Er 0.5630 0.2276 0.4556
Er 0.9907 0.7880 0.6459
Tb 0.2557 0.0900 0.6864

## Properties
* excess energy over the best structure of this formula in the dataset: 0 meV/atom
* theoretical density: 8.33 g cm⁻³
* density of states at the Fermi level: 1.625 states/eV/atom
* size of the total moment: 0.0 Bohr magnetons per cell
* E_form: 0.16 eV/atom

(4)
This record from the Alexandria database describes crystalline AlMo2W at its relaxed geometry. The functional is PBE.

Unit cell a=9.5403 b=9.5403 c=9.5403 alpha=16.88 beta=16.88 gamma=16.88
Element x y z (fractional)
Mo 0.0022 0.0022 0.0022
Mo 0.2502 0.2502 0.2502
W 0.4977 0.4977 0.4977
Al 0.7499 0.7499 0.7499

## Properties
* theoretical density: 10.48 g cm⁻³
* density of states at the Fermi level: 1.071 states/eV/atom
* size of the total moment: 0.0 Bohr magnetons per cell
* E_form: 0.24 eV/atom

(5)
This record from the Alexandria database describes crystalline MnCrCu2 at its relaxed geometry. The functional is PBE.

Unit cell a=4.3407 b=4.3407 c=4.6675 alpha=85.21 beta=85.21 gamma=31.90
Element x y z (fractional)
Mn 0.4923 0.4923 0.4823
Cr 0.2558 0.2558 0.2678
Cu 0.0023 0.0023 0.9872
Cu 0.7496 0.7496 0.7628

## Properties
* theoretical density: 8.39 g cm⁻³
* density of states at the Fermi level: 0.951 states/eV/atom
* size of the total moment: 0.0 Bohr magnetons per cell
* E_form: 0.28 eV/atom

(6)
This record from the Alexandria database describes crystalline Dy8NiAg2 at its relaxed geometry. The functional is PBE.

Unit cell a=5.1990 b=6.7758 c=9.0777 alpha=105.77 beta=106.64 gamma=90.00
Element x y z (fractional)
Dy 0.7987 0.6889 0.5975
Dy 0.5892 0.4347 0.1785
Dy 0.3429 0.0319 0.6858
Ag 0.1860 0.7248 0.3720
Ag 0.8140 0.2752 0.6280
Dy 0.2013 0.3111 0.4025
Dy 0.9734 0.2141 0.9467
Dy 0.4108 0.5653 0.8215
Ni 0.5000 0.0000 0.0000
Dy 0.6571 0.9681 0.3142
Dy 0.0266 0.7859 0.0533

## Properties
* excess energy over the best structure of this formula in the dataset: 0 meV/atom
* theoretical density: 8.90 g cm⁻³
* density of states at the Fermi level: 1.062 states/eV/atom
* size of the total moment: 0.0 Bohr magnetons per cell
* E_form: -0.15 eV/atom

(7)
This record from the Alexandria database describes crystalline AlGaAu5 at its relaxed geometry. The functional is PBE.

Unit cell a=5.4904 b=5.4904 c=9.1210 alpha=79.44 beta=79.44 gamma=89.99
Element x y z (fractional)
Au 0.9786 0.6603 0.2556
Au 0.8149 0.1851 0.2500
Au 0.0214 0.3397 0.7444
Au 0.1851 0.8149 0.7500
Au 0.2546 0.4214 0.0129
Au 0.6603 0.9786 0.7556
Au 0.4214 0.2546 0.5129
Al 0.5460 0.4540 0.7500
Ga 0.0000 0.0000 0.0000
Al 0.4540 0.5460 0.2500
Au 0.5786 0.7454 0.4871
Au 0.3397 0.0214 0.2444
Ga 0.0000 0.0000 0.5000
Au 0.7454 0.5786 0.9871

## Properties
* excess energy over the best structure of this formula in the dataset: 7 meV/atom
* theoretical density: 13.53 g cm⁻³
* density of states at the Fermi level: 0.292 states/eV/atom
* size of the total moment: 0.0 Bohr magnetons per cell
* E_form: -0.15 eV/atom

(8)
This record from the Alexandria database describes crystalline SrSiTe2H at its relaxed geometry. The functional is PBE.

Unit cell a=5.8004 b=3.4906 c=5.8004 alpha=90.00 beta=90.00 gamma=90.00
Element x y z (fractional)
H 0.0000 0.0000 0.0000
Te 0.5000 0.0000 0.0000
Si 0.0000 0.5000 0.0000
Sr 0.5000 0.5000 0.5000
Te 0.0000 0.0000 0.5000

## Properties
* theoretical density: 5.26 g cm⁻³
* density of states at the Fermi level: 0.330 states/eV/atom
* energy: -3.522 eV/atom
* size of the total moment: 0.0 Bohr magnetons per cell

(9)
This record from the Alexandria database describes crystalline TlInSn2Te4 at its relaxed geometry. The functional is PBE.

Unit cell a=4.5019 b=7.7749 c=7.8338 alpha=71.94 beta=90.00 gamma=90.00
Element x y z (fractional)
In 0.5000 0.5000 0.0000
Sn 0.0000 0.0000 0.0000
Te 0.5000 0.2397 0.7644
Tl 0.0000 0.5000 0.5000
Te 0.0000 0.2456 0.2440
Te 0.5000 0.7603 0.2356
Te 0.0000 0.7544 0.7560
Sn 0.5000 0.0000 0.5000

## Properties
* theoretical density: 6.80 g cm⁻³
* density of states at the Fermi level: 0.778 states/eV/atom
* size of the total moment: 0.0 Bohr magnetons per cell
* uncorrected formation energy: -0.258 eV per atom

(10)
This record from the Alexandria database describes crystalline Zn5Ag3Au4 at its relaxed geometry. The functional is PBE.

Unit cell a=4.8943 b=6.7848 c=7.9241 alpha=104.14 beta=72.01 gamma=68.86
Element x y z (fractional)
Zn 0.5000 0.5000 0.5000
Ag 0.0000 0.5000 0.5000
Zn 0.3311 0.4834 0.8544
Au 0.0336 0.6994 0.2334
Ag 0.3270 0.9883 0.3577
Zn 0.6689 0.5166 0.1456
Au 0.8355 0.1275 0.2014
Au 0.9664 0.3006 0.7666
Zn 0.6560 0.7728 0.9153
Zn 0.3440 0.2272 0.0847
Au 0.1645 0.8725 0.7986
Ag 0.6730 0.0117 0.6423

## Properties
* theoretical density: 11.17 g cm⁻³
* density of states at the Fermi level: 0.298 states/eV/atom
* size of the total moment: 0.0 Bohr magnetons per cell
* E_form: -0.01 eV/atom

(11)
This record from the Alexandria database describes crystalline Mo2WSe6 at its relaxed geometry. The functional is PBE.

Unit cell a=3.3232 b=3.3232 c=22.1262 alpha=90.00 beta=90.00 gamma=120.00
Element x y z (fractional)
Se 0.3333 0.6667 0.9240
Mo 0.3333 0.6667 0.3237
Se 0.6667 0.3333 0.3993
Mo 0.3333 0.6667 0.6763
W 0.6667 0.3333 0.0000
Se 0.6667 0.3333 0.6007
Se 0.6667 0.3333 0.7519
Se 0.3333 0.6667 0.0760
Se 0.6667 0.3333 0.2481

## Properties
* excess energy over the best structure of this formula in the dataset: 0 meV/atom
* theoretical density: 6.67 g cm⁻³
* size of the total moment: 0.0 Bohr magnetons per cell
* uncorrected formation energy: -0.643 eV per atom

(12)
This record from the Alexandria database describes crystalline NaPb2Au2 at its relaxed geometry. The functional is PBE.

Unit cell a=4.9510 b=4.9510 c=6.8223 alpha=68.72 beta=68.72 gamma=90.00
Element x y z (fractional)
Pb 0.7500 0.2500 0.5000
Na 0.0000 0.0000 0.0000
Pb 0.2500 0.7500 0.5000
Au 0.6153 0.6153 0.7694
Au 0.3847 0.3847 0.2306

## Properties
* excess energy over the best structure of this formula in the dataset: 79 meV/atom
* theoretical density: 9.62 g cm⁻³
* density of states at the Fermi level: 0.522 states/eV/atom
* size of the total moment: 0.0 Bohr magnetons per cell
* E_form: -0.10 eV/atom